## LiTaZn2 (PBEsol)

Data for a relaxed structure of LiTaZn2.

Cell: 2.662 3.988 5.608 Å, 90.00 90.00 90.00°
Space group Pmm2 (No. 25)
Symmetry-distinct sites (fractional):
Li1 0.000 0.000 0.000 x1
Ta1 0.500 0.500 0.290 x1
Zn1 0.000 0.000 0.528 x1
Zn2 0.500 0.500 0.793 x1

Values from the calculation:
Magnetization   0.000 μB/f.u.
Total energy   -4.24 eV/atom
Excess energy over the best structure of this formula in the dataset   249.1 meV per atom
V   59.5 Å³/cell